No. 1
DFT (PBE) results for ReTcSe2 after structural relaxation.

## Properties
Formation energy without anion corrections, eV/f.u.: 1.4
Distance to the lowest polymorph of the same formula, eV/atom: 0.418
Crystal system: trigonal

Lattice parameters (Å, degrees): 8.0089 8.0089 8.0089 21.88 21.88 21.88
Positions (direct):
Se1 0.5003 0.5003 0.5003
Se2 0.9997 0.9997 0.9997
Re1 0.7500 0.7500 0.7500
Tc1 0.2500 0.2500 0.2500


No. 2
DFT (PBE) results for ReTc2Se after structural relaxation.

## Properties
Formation energy without anion corrections, eV/f.u.: 2.4
Crystal system: orthorhombic

Lattice parameters (Å, degrees): 2.7640 2.7640 9.1176 90.00 90.00 115.94
Positions (direct):
Se1 0.5000 0.5000 0.7598
Re1 0.0000 0.0000 0.4861
Tc1 0.0000 0.0000 0.0059
Tc2 0.5000 0.5000 0.2482


No. 3
DFT (PBE) results for ReTc2Se after structural relaxation.

## Properties
Formation energy without anion corrections, eV/f.u.: 1.4
Crystal system: monoclinic

Lattice parameters (Å, degrees): 4.8356 4.8356 4.5683 86.93 86.93 34.95
Positions (direct):
Tc1 0.4802 0.4802 0.5154
Tc2 0.0198 0.0198 0.9846
Se1 0.2500 0.2500 0.2500
Re1 0.7500 0.7500 0.7500


No. 4
DFT (PBE) results for ReTc3Se after structural relaxation.

## Properties
Formation energy without anion corrections, eV/f.u.: 8.9
Distance to the lowest polymorph of the same formula, eV/atom: 0.297
Crystal system: cubic

Lattice parameters (Å, degrees): 4.7324 4.7324 4.7324 90.00 90.00 90.00
Site moments in Bohr magnetons follow the coordinates.
Positions (direct):
Tc1 0.0000 0.0000 0.5000  1.01
Re1 0.0000 0.0000 0.0000  -0.16
Tc2 0.5000 0.0000 0.0000  0.97
Se1 0.5000 0.5000 0.5000  0.00
Tc3 0.0000 0.5000 0.0000  1.11


No. 5
DFT (PBE) results for ReTcSe2 after structural relaxation.

## Properties
Formation energy without anion corrections, eV/f.u.: 2.9
Distance to the lowest polymorph of the same formula, eV/atom: 0.779
Crystal system: monoclinic

Lattice parameters (Å, degrees): 4.2735 2.5957 6.6530 112.49 90.00 90.00
Positions (direct):
Se1 0.0000 0.5041 0.4995
Re1 0.5000 0.7500 0.7500
Tc1 0.5000 0.2500 0.2500
Se2 0.0000 0.9959 0.0005


No. 6
DFT (PBE) results for ReTc2Se after structural relaxation.

## Properties
Formation energy without anion corrections, eV/f.u.: 1.3
Crystal system: monoclinic

Lattice parameters (Å, degrees): 4.0359 2.8773 5.4328 72.19 90.00 90.00
Positions (direct):
Se1 0.5000 0.7500 0.7500
Tc1 0.0000 0.8852 0.9953
Tc2 0.0000 0.6148 0.5047
Re1 0.5000 0.2500 0.2500


Question: Which value of formation energy without anion corrections does entry 4 give?
Answer: 8.9 eV/f.u.


Question: What is the formation energy without anion corrections in the third record?
Answer: 1.4 eV/f.u.


Repeat the sixth record exactly.
DFT (PBE) results for ReTc2Se after structural relaxation.

## Properties
Formation energy without anion corrections, eV/f.u.: 1.3
Crystal system: monoclinic

Lattice parameters (Å, degrees): 4.0359 2.8773 5.4328 72.19 90.00 90.00
Positions (direct):
Se1 0.5000 0.7500 0.7500
Tc1 0.0000 0.8852 0.9953
Tc2 0.0000 0.6148 0.5047
Re1 0.5000 0.2500 0.2500


Repeat the first record exactly.
DFT (PBE) results for ReTcSe2 after structural relaxation.

## Properties
Formation energy without anion corrections, eV/f.u.: 1.4
Distance to the lowest polymorph of the same formula, eV/atom: 0.418
Crystal system: trigonal

Lattice parameters (Å, degrees): 8.0089 8.0089 8.0089 21.88 21.88 21.88
Positions (direct):
Se1 0.5003 0.5003 0.5003
Se2 0.9997 0.9997 0.9997
Re1 0.7500 0.7500 0.7500
Tc1 0.2500 0.2500 0.2500